# PBE+U SrLa3MnCuO8, relaxed
# DOS at the Fermi energy   3.4 states/eV/f.u.
# Raw total energy   -103.91 eV/f.u.
data_SrLa3MnCuO8
_symmetry_space_group_name_H-M 'P 1'
_symmetry_Int_Tables_number 1
_cell_length_a 7.100
_cell_length_b 7.100
_cell_length_c 5.434
_cell_angle_alpha 90.00
_cell_angle_beta 90.00
_cell_angle_gamma 135.12
loop_
_symmetry_equiv_pos_as_xyz
'x,y,z'
loop_
_atom_site_label
_atom_site_fract_x
_atom_site_fract_y
_atom_site_fract_z
Sr1 0.857 0.143 0.500
La1 0.360 0.640 0.000
La2 0.642 0.358 0.000
La3 0.140 0.860 0.500
Mn1 0.500 0.500 0.500
Cu1 0.996 0.004 0.000
O1 0.187 0.813 0.000
O2 0.668 0.332 0.500
O3 0.322 0.678 0.500
O4 0.815 0.185 0.000
O5 0.255 0.248 0.751
O6 0.752 0.745 0.249
O7 0.255 0.248 0.249
O8 0.752 0.745 0.751